Density functional theory data (PBE-GGA) for a relaxed Pm4RuRh crystal. Values from VASP.

Structure (Quantum ESPRESSO input):
```
&SYSTEM
  ibrav = 0, nat = 12, ntyp = 3
/
ATOMIC_SPECIES
Pm 145.00 Pm.upf
Ru 101.07 Ru.upf
Rh 102.91 Rh.upf
ATOMIC_POSITIONS angstrom
Pm 2.2832 2.3498 2.3632
Ru -0.0558 3.4948 3.4925
Pm 5.8645 4.6350 1.1510
Rh 0.0000 0.0000 0.0000
Pm 4.5098 1.1403 5.8209
Pm 5.7785 1.1449 2.3588
Pm 2.3692 5.8493 1.1554
Rh 3.4953 3.4948 -0.0044
Ru 3.4395 0.0000 3.4881
Pm 4.5958 4.6397 4.6130
Pm 1.0145 2.3545 5.8252
Pm 1.1005 5.8446 4.6174
CELL_PARAMETERS angstrom
6.9906 0.0000 -0.0088
0.0000 6.9895 0.0000
-0.1116 0.0000 6.9850
```

Output
- Offset from the most stable computed form: 37 meV/atom
- Space group: No. 14

Density functional theory data (PBE-GGA) for a relaxed Pm8Ru2Rh crystal. Values from VASP.

Structure (Quantum ESPRESSO input):
```
&SYSTEM
  ibrav = 0, nat = 11, ntyp = 3
/
ATOMIC_SPECIES
Pm 145.00 Pm.upf
Rh 102.91 Rh.upf
Ru 101.07 Ru.upf
ATOMIC_POSITIONS angstrom
Pm 2.4899 -1.0764 8.0434
Pm 2.4899 3.1366 5.2078
Pm 0.0000 5.3181 0.7176
Pm 0.0000 -1.5842 5.6578
Pm 2.4899 2.6546 1.7261
Rh 2.4899 0.0000 0.0000
Pm 0.0000 1.5871 7.0348
Pm 2.4899 5.8259 3.1032
Pm 0.0000 1.1051 3.5532
Ru 2.4899 0.3429 5.4137
Ru 0.0000 3.8988 3.3472
CELL_PARAMETERS angstrom
4.9798 0.0000 0.0000
0.0000 6.9635 0.2194
-2.4899 -2.7218 8.5416
```

Output
- DFT total energy: -6.04 eV/atom
- Space group: No. 12

Computed theoretical density (g/cm³) in order:
7.6; 8.1